Density functional theory data (PBE-GGA) for GeIr3F after structural relaxation.

```
5
Lattice="4.2979 0.0000 0.0000 0.0000 4.2979 0.0000 0.0000 0.0000 4.2979" Properties=species:S:1:pos:R:3 pbc="T T T"
Ge 2.1489 2.1489 2.1489
Ir 0.0000 2.1489 0.0000
Ir 0.0000 0.0000 2.1489
Ir 2.1489 0.0000 0.0000
F 0.0000 0.0000 0.0000
```

Properties
Polymorph energy (0 for the lowest one)   0 kJ/mol of formula units

=====

Density functional theory data (PBE-GGA) for Hf12Ga5Os3 after structural relaxation.

```
80
Lattice="-10.2351 -6.1138 -6.3843 -0.1410 -3.4472 13.0764 -1.3409 13.4087 -1.1419" Properties=species:S:1:pos:R:3 pbc="T T T"
Os -7.8968 -4.2020 -0.0273
Os -9.2290 -6.2589 4.0783
Os -4.7819 3.5023 6.6995
Os -3.0792 3.0689 -0.3897
Os -9.3085 -2.4283 -4.2372
Os -4.2615 -1.0950 5.4932
Os -7.4554 4.9427 0.0571
Os -2.4084 6.2760 9.7874
Os -8.6377 0.7787 5.9400
Os -6.9350 0.3453 -1.1493
Os -2.4879 10.1066 1.4719
Os -3.8201 8.0497 5.5776
Ga -1.6675 1.2952 3.8201
Ga -0.0705 -1.7236 6.5382
Ga 0.0000 0.0000 0.0000
Ga -4.0410 -1.4784 0.7323
Ga -5.7880 3.6474 -3.7631
Ga -5.1880 -4.7805 3.3460
Ga -1.8879 1.6786 8.5811
Ga -8.8672 6.7163 -4.1528
Ga -8.2672 -1.7116 2.9563
Ga -4.8614 7.3329 -1.6160
Ga -6.8555 -3.4853 7.1662
Ga -5.8584 1.9238 2.7751
Ga -5.1175 -3.0569 -3.1921
Ga -0.6704 6.7044 -0.5709
Ga -3.4497 5.5593 2.5939
Ga -2.8497 -2.8687 9.7030
Ga -0.7409 4.9807 5.9673
Ga -9.8290 2.1690 -3.0308
Ga -7.6759 5.3261 4.8180
Ga -10.0494 2.5524 1.7301
Hf -7.5559 -4.0781 -2.9479
Hf -4.0764 1.7425 4.7346
Hf -10.0090 -3.3417 -1.5286
Hf -5.9734 -2.4094 -0.7639
Hf -7.0603 2.7894 4.9784
Hf -9.8957 -5.4868 1.3177
Hf -4.0793 0.7564 7.4918
Hf -1.0551 -1.7557 11.2457
Hf -6.8873 2.1895 7.8393
Hf -7.7581 -4.2764 2.9115
Hf -8.4502 -1.3395 0.3742
Hf -8.7566 -7.4576 6.7244
Hf -2.2445 4.2065 8.0137
Hf -3.9146 -2.4590 3.1533
Hf -1.5672 1.1245 11.1167
Hf -4.9569 4.7229 -1.4825
Hf -1.2771 1.9228 1.3116
Hf -4.6671 -3.9908 5.8266
Hf -9.0342 -4.5853 6.2269
Hf -1.5424 -1.2566 4.3787
Hf -4.8973 4.8902 9.0481
Hf -6.4988 -0.2305 4.1884
Hf -10.3618 -1.0002 4.3512
Hf -9.1637 6.2947 -1.5889
Hf -5.2181 4.0781 1.3619
Hf -1.3551 4.8478 1.1991
Hf -2.5532 -2.4471 7.1392
Hf -2.6827 8.4329 -0.6767
Hf -6.8196 -1.0426 -3.4979
Hf -10.1745 5.1042 1.1716
Hf -7.0498 7.8385 -0.2764
Hf -6.7600 -0.8753 7.0328
Hf -10.4398 1.9249 4.2387
Hf -10.1497 2.7232 -5.5664
Hf -9.4724 -0.3589 -2.4635
Hf -2.9603 11.3052 -1.1741
Hf -7.8023 6.3066 2.3969
Hf -4.8296 1.6582 -2.2891
Hf -3.9588 8.1240 2.6387
Hf -3.2667 5.1871 5.1760
Hf -10.6618 5.6034 -5.6954
Hf -7.6376 3.0912 -1.9416
Hf -5.7435 6.2570 6.3141
Hf -1.8212 9.3344 4.2325
Hf -4.6566 1.0582 0.5718
Hf -1.7079 7.1893 7.0788
Hf -7.6405 2.1051 0.8156
Hf -4.1610 7.9258 8.4982
```

Properties
Energy of formation from the pure elements   0.324 eV per atom

=====

Density functional theory data (PBE-GGA) for CdInP2 after structural relaxation.

```
4
Lattice="3.4433 -0.0288 0.0000 -1.1525 3.2448 0.0000 0.0000 0.0000 7.5288" Properties=species:S:1:pos:R:3 pbc="T T T"
Cd 1.1454 1.6080 1.8822
In 1.1454 1.6080 5.6466
P 0.0000 0.0000 0.0057
P 0.0000 0.0000 3.7587
```

Properties
Energy of formation from the pure elements   0.405 eV per atom